[1]
# Ti2BiP (PBE, relaxed)
data_Ti2BiP
_space_group_name_H-M_alt 'R -3 m'
_space_group_IT_number 166
_space_group_name_Hall '-R 3 2"'
_cell_length_a 3.6721
_cell_length_b 3.6721
_cell_length_c 19.8687
_cell_angle_alpha 90.00
_cell_angle_beta 90.00
_cell_angle_gamma 120.00
loop_
_atom_site_label
_atom_site_type_symbol
_atom_site_fract_x
_atom_site_fract_y
_atom_site_fract_z
Ti1 Ti 0.0000 0.0000 0.2268
Bi1 Bi 0.0000 0.0000 0.0000
P1 P 0.0000 0.0000 0.5000
# Crystal system: trigonal

***

[2]
# Ti2BiP (PBE, relaxed)
data_Ti2BiP
_space_group_name_H-M_alt 'R 3 m'
_space_group_IT_number 160
_space_group_name_Hall 'R 3 -2"'
_cell_length_a 3.6552
_cell_length_b 3.6552
_cell_length_c 19.7784
_cell_angle_alpha 90.00
_cell_angle_beta 90.00
_cell_angle_gamma 120.00
loop_
_atom_site_label
_atom_site_type_symbol
_atom_site_fract_x
_atom_site_fract_y
_atom_site_fract_z
Ti1 Ti 0.0000 0.0000 0.0000
Ti2 Ti 0.0000 0.0000 0.2078
Bi1 Bi 0.0000 0.0000 0.4363
P1 P 0.0000 0.0000 0.6052
# Crystal system: trigonal

***

[3]
# Ti3BiP (PBE, relaxed)
data_Ti3BiP
_space_group_name_H-M_alt 'P m -3 m'
_space_group_IT_number 221
_space_group_name_Hall '-P 4 2 3'
_cell_length_a 5.191
_cell_length_b 5.191
_cell_length_c 5.191
_cell_angle_alpha 90.00
_cell_angle_beta 90.00
_cell_angle_gamma 90.00
loop_
_atom_site_label
_atom_site_type_symbol
_atom_site_fract_x
_atom_site_fract_y
_atom_site_fract_z
Ti1 Ti 0.000 0.000 0.500
Bi1 Bi 0.000 0.000 0.000
P1 P 0.500 0.500 0.500
# Polymorph energy (0 for the lowest one) in meV per atom: 1527.7
# Crystal system: cubic

***

[4]
# Ti3BiP (PBE, relaxed)
data_Ti3BiP
_space_group_name_H-M_alt 'P m -3 m'
_space_group_IT_number 221
_space_group_name_Hall '-P 4 2 3'
_cell_length_a 4.635
_cell_length_b 4.635
_cell_length_c 4.635
_cell_angle_alpha 90.00
_cell_angle_beta 90.00
_cell_angle_gamma 90.00
loop_
_atom_site_label
_atom_site_type_symbol
_atom_site_fract_x
_atom_site_fract_y
_atom_site_fract_z
Ti1 Ti 0.000 0.000 0.500
Bi1 Bi 0.500 0.500 0.500
P1 P 0.000 0.000 0.000
# Polymorph energy (0 for the lowest one) in meV per atom: 0.0
# Crystal system: cubic

***

[5]
# ZrTi2BiP (PBE, relaxed)
data_ZrTi2BiP
_space_group_name_H-M_alt 'P 4/m m m'
_space_group_IT_number 123
_space_group_name_Hall '-P 4 2'
_cell_length_a 5.137
_cell_length_b 5.137
_cell_length_c 5.479
_cell_angle_alpha 90.00
_cell_angle_beta 90.00
_cell_angle_gamma 90.00
loop_
_atom_site_label
_atom_site_type_symbol
_atom_site_fract_x
_atom_site_fract_y
_atom_site_fract_z
Zr1 Zr 0.000 0.000 0.000
Ti1 Ti 0.000 0.500 0.500
Bi1 Bi 0.000 0.000 0.500
P1 P 0.500 0.500 0.000
# Crystal system: tetragonal

***

[6]
# TlBi3P (PBE, relaxed)
data_TlBi3P
_space_group_name_H-M_alt 'P m -3 m'
_space_group_IT_number 221
_space_group_name_Hall '-P 4 2 3'
_cell_length_a 5.507
_cell_length_b 5.507
_cell_length_c 5.507
_cell_angle_alpha 90.00
_cell_angle_beta 90.00
_cell_angle_gamma 90.00
loop_
_atom_site_label
_atom_site_type_symbol
_atom_site_fract_x
_atom_site_fract_y
_atom_site_fract_z
Tl1 Tl 0.000 0.000 0.000
Bi1 Bi 0.000 0.500 0.500
P1 P 0.500 0.500 0.500
# Polymorph energy (0 for the lowest one) in meV per atom: 0.0
# Crystal system: cubic

***

[7]
# Tl3BiP (PBE, relaxed)
data_Tl3BiP
_space_group_name_H-M_alt 'P m -3 m'
_space_group_IT_number 221
_space_group_name_Hall '-P 4 2 3'
_cell_length_a 5.967
_cell_length_b 5.967
_cell_length_c 5.967
_cell_angle_alpha 90.00
_cell_angle_beta 90.00
_cell_angle_gamma 90.00
loop_
_atom_site_label
_atom_site_type_symbol
_atom_site_fract_x
_atom_site_fract_y
_atom_site_fract_z
Tl1 Tl 0.000 0.000 0.500
Bi1 Bi 0.000 0.000 0.000
P1 P 0.500 0.500 0.500
# Polymorph energy (0 for the lowest one) in meV per atom: 523.3
# Crystal system: cubic

***

[8]
# Tl2Bi2P (PBE, relaxed)
data_Tl2Bi2P
_space_group_name_H-M_alt 'P 4/m b m'
_space_group_IT_number 127
_space_group_name_Hall '-P 4 2ab'
_cell_length_a 7.538
_cell_length_b 7.538
_cell_length_c 5.410
_cell_angle_alpha 90.00
_cell_angle_beta 90.00
_cell_angle_gamma 90.00
loop_
_atom_site_label
_atom_site_type_symbol
_atom_site_fract_x
_atom_site_fract_y
_atom_site_fract_z
Tl1 Tl 0.165 0.335 0.000
Bi1 Bi 0.141 0.641 0.500
P1 P 0.000 0.000 0.000
# Polymorph energy (0 for the lowest one) in meV per atom: 226.0
# Crystal system: tetragonal

***

[9]
# Tl2Bi2P (PBE, relaxed)
data_Tl2Bi2P
_space_group_name_H-M_alt 'I 4/m m m'
_space_group_IT_number 139
_space_group_name_Hall '-I 4 2'
_cell_length_a 4.294
_cell_length_b 4.294
_cell_length_c 18.073
_cell_angle_alpha 90.00
_cell_angle_beta 90.00
_cell_angle_gamma 90.00
loop_
_atom_site_label
_atom_site_type_symbol
_atom_site_fract_x
_atom_site_fract_y
_atom_site_fract_z
Tl1 Tl 0.000 0.000 0.086
Bi1 Bi 0.000 0.500 0.250
P1 P 0.000 0.000 0.500
# Polymorph energy (0 for the lowest one) in meV per atom: 268.7
# Crystal system: tetragonal

***

[10]
# Tl2Bi2P (PBE, relaxed)
data_Tl2Bi2P
_space_group_name_H-M_alt 'P 4/m b m'
_space_group_IT_number 127
_space_group_name_Hall '-P 4 2ab'
_cell_length_a 7.524
_cell_length_b 7.524
_cell_length_c 5.583
_cell_angle_alpha 90.00
_cell_angle_beta 90.00
_cell_angle_gamma 90.00
loop_
_atom_site_label
_atom_site_type_symbol
_atom_site_fract_x
_atom_site_fract_y
_atom_site_fract_z
Tl1 Tl 0.173 0.327 0.000
Bi1 Bi 0.149 0.649 0.500
P1 P 0.000 0.000 0.500
# Polymorph energy (0 for the lowest one) in meV per atom: 0.0
# Crystal system: tetragonal

***

[11]
# TlBi3P (PBE, relaxed)
data_TlBi3P
_space_group_name_H-M_alt 'P m -3 m'
_space_group_IT_number 221
_space_group_name_Hall '-P 4 2 3'
_cell_length_a 5.770
_cell_length_b 5.770
_cell_length_c 5.770
_cell_angle_alpha 90.00
_cell_angle_beta 90.00
_cell_angle_gamma 90.00
loop_
_atom_site_label
_atom_site_type_symbol
_atom_site_fract_x
_atom_site_fract_y
_atom_site_fract_z
Tl1 Tl 0.000 0.000 0.000
Bi1 Bi 0.000 0.000 0.500
P1 P 0.500 0.500 0.500
# Polymorph energy (0 for the lowest one) in meV per atom: 884.2
# Crystal system: cubic

***

[12]
# TlBiP (PBE, relaxed)
data_TlBiP
_space_group_name_H-M_alt 'C m c 21'
_space_group_IT_number 36
_cell_length_a 3.858
_cell_length_b 16.007
_cell_length_c 6.164
_cell_angle_alpha 90.00
_cell_angle_beta 90.00
_cell_angle_gamma 90.00
loop_
_space_group_symop_operation_xyz
'x,y,z'
'-x,-y,z+1/2'
'-x,y,z'
'x,-y,z+1/2'
'x+1/2,y+1/2,z'
'-x+1/2,-y+1/2,z+1/2'
'-x+1/2,y+1/2,z'
'x+1/2,-y+1/2,z+1/2'
loop_
_atom_site_label
_atom_site_type_symbol
_atom_site_fract_x
_atom_site_fract_y
_atom_site_fract_z
Tl1 Tl 0.000 0.031 0.000
Bi1 Bi 0.000 0.338 0.072
P1 P 0.000 0.180 0.271
# Polymorph energy (0 for the lowest one) in meV per atom: 63.9
# Crystal system: orthorhombic

***

[13]
# TlBiP (PBE, relaxed)
data_TlBiP
_space_group_name_H-M_alt 'P 3 m 1'
_space_group_IT_number 156
_cell_length_a 3.9178
_cell_length_b 3.9178
_cell_length_c 6.5465
_cell_angle_alpha 90.00
_cell_angle_beta 90.00
_cell_angle_gamma 120.00
loop_
_space_group_symop_operation_xyz
'x,y,z'
'-y,x-y,z'
'-x+y,-x,z'
'-y,-x,z'
'-x+y,y,z'
'x,x-y,z'
loop_
_atom_site_label
_atom_site_type_symbol
_atom_site_fract_x
_atom_site_fract_y
_atom_site_fract_z
Tl1 Tl 0.0000 0.0000 0.0000
Bi1 Bi 0.3333 0.6667 0.5585
P1 P 0.6667 0.3333 0.3171
# Polymorph energy (0 for the lowest one) in meV per atom: 0.0
# Crystal system: trigonal

***

[14]
# Tl3BiP (PBE, relaxed)
data_Tl3BiP
_space_group_name_H-M_alt 'P m -3 m'
_space_group_IT_number 221
_space_group_name_Hall '-P 4 2 3'
_cell_length_a 5.372
_cell_length_b 5.372
_cell_length_c 5.372
_cell_angle_alpha 90.00
_cell_angle_beta 90.00
_cell_angle_gamma 90.00
loop_
_atom_site_label
_atom_site_type_symbol
_atom_site_fract_x
_atom_site_fract_y
_atom_site_fract_z
Tl1 Tl 0.000 0.000 0.500
Bi1 Bi 0.500 0.500 0.500
P1 P 0.000 0.000 0.000
# Polymorph energy (0 for the lowest one) in meV per atom: 0.0
# Crystal system: cubic

***

no.,Fermi-level density of states (states/eV per atom),E_form (meV per atom)
1,0.810,-672
2,0.223,-702
3,1.301,1258
4,1.332,-270
5,1.167,1257
6,1.117,371
7,0.913,826
8,0.903,431
9,0.944,473
10,0.733,205
11,1.699,1256
12,0.470,185
13,0.440,122
14,0.466,302